The following is a DFT calculation (PBE) of an optimized crystal structure of Pm2SnRh6.

Cell and atoms, written as POSCAR:
```
Pm2SnRh6
1.0
-0.511 3.063 -0.211
-6.619 -0.759 5.022
7.453 -0.139 2.872
Rh Sn Pm
6 1 2
direct
0.830 0.628 0.660
0.170 0.968 0.340
0.500 0.741 0.000
0.830 0.032 0.660
0.500 0.259 0.000
0.170 0.372 0.340
0.000 0.000 0.000
0.348 0.345 0.690
0.652 0.655 0.310
```

Values from the calculation:
The value obtained for the formation energy is -139.8 kJ/mol of formula units. As for the total magnetic moment: 0.0 Bohr magnetons per cell. The calculation puts the density of states at the Fermi level at 1.048 states/eV per atom.